No. 1
Computed, not measured: crystalline SiPdRu3 at its relaxed geometry at the PBE level of DFT.

## Properties
**Formation energy from raw total energies**: 2.118 eV/atom
**V**: 104.6 Å³ per cell
**Relative energy among the computed polymorphs**: 1.302 eV per atom

The structure in POSCAR format:
```
SiPdRu3
1.0
4.712 0.000 0.000
0.000 4.712 0.000
0.000 0.000 4.712
Si Pd Ru
1 1 3
direct
0.000 0.000 0.000
0.500 0.500 0.500
0.000 0.500 0.500
0.500 0.000 0.500
0.500 0.500 0.000
```

---

No. 2
Computed, not measured: crystalline Dy2ErTl2Cd2 at its relaxed geometry at the PBE level of DFT.

## Properties
**V**: 187.9 Å³ per cell
**ΔH_f (0 K)**: -109 meV/atom

The structure in POSCAR format:
```
Dy2ErTl2Cd2
1.0
2.504 1.446 8.651
-2.504 1.446 8.651
0.000 -2.891 8.651
Dy Er Tl Cd
2 1 2 2
direct
0.132 0.132 0.132
0.868 0.868 0.868
0.000 0.000 0.000
0.271 0.271 0.271
0.729 0.729 0.729
0.427 0.427 0.427
0.573 0.573 0.573
```

---

No. 3
Computed, not measured: crystalline AgGeBiC2 at its relaxed geometry at the PBE level of DFT.

## Properties
**V**: 101.8 Å³ per cell
**ΔH_f (0 K)**: 2308 meV/atom

The structure in POSCAR format:
```
AgGeBiC2
1.0
4.173 0.000 0.000
0.000 4.173 0.000
0.000 0.000 5.847
Ag Ge Bi C
1 1 1 2
direct
0.000 0.000 0.000
0.500 0.500 0.500
0.000 0.000 0.500
0.000 0.500 0.000
0.500 0.000 0.000
```

---

No. 4
Computed, not measured: crystalline PmAl3Ir at its relaxed geometry at the PBE level of DFT.

## Properties
**V**: 391.9 Å³ per cell
**ΔH_f (0 K)**: -747 meV/atom
**Relative energy among the computed polymorphs**: 0.000 eV per atom

The structure in POSCAR format:
```
PmAl3Ir
1.0
8.440 0.000 0.000
0.000 4.221 0.000
0.000 0.000 11.001
Pm Al Ir
4 12 4
direct
0.194 0.250 0.018
0.306 0.750 0.518
0.694 0.250 0.482
0.806 0.750 0.982
0.052 0.250 0.583
0.112 0.750 0.787
0.149 0.750 0.224
0.351 0.250 0.724
0.388 0.250 0.287
0.448 0.750 0.083
0.552 0.250 0.917
0.612 0.750 0.713
0.649 0.750 0.276
0.851 0.250 0.776
0.888 0.250 0.213
0.948 0.750 0.417
0.109 0.250 0.354
0.391 0.750 0.854
0.609 0.250 0.146
0.891 0.750 0.646
```

---

No. 5
Computed, not measured: crystalline Ca3LaCe2N6 at its relaxed geometry at the PBE level of DFT.

## Properties
**Formation energy from raw total energies**: -1.160 eV/atom
**V**: 195.7 Å³ per cell

The structure in POSCAR format:
```
Ca3LaCe2N6
1.0
3.093 -5.484 0.000
3.093 5.484 0.000
-1.887 0.000 5.769
Ca La Ce N
3 1 2 6
direct
0.000 0.000 0.000
0.331 0.669 0.000
0.669 0.331 0.000
0.500 0.500 0.500
0.167 0.833 0.500
0.833 0.167 0.500
0.068 0.416 0.275
0.234 0.234 0.731
0.416 0.068 0.275
0.584 0.932 0.725
0.766 0.766 0.269
0.932 0.584 0.725
```

---

No. 6
Computed, not measured: crystalline Cs3Mg2PaTe6 at its relaxed geometry at the PBE level of DFT.

## Properties
**Formation energy from raw total energies**: -0.959 eV/atom
**V**: 462.1 Å³ per cell

The structure in POSCAR format:
```
Cs3Mg2PaTe6
1.0
3.871 -6.711 0.000
3.871 6.711 0.000
-2.578 0.000 8.893
Cs Mg Pa Te
3 2 1 6
direct
0.000 0.000 0.000
0.332 0.668 0.000
0.668 0.332 0.000
0.166 0.834 0.500
0.834 0.166 0.500
0.500 0.500 0.500
0.107 0.439 0.317
0.230 0.230 0.684
0.439 0.107 0.317
0.561 0.893 0.683
0.770 0.770 0.316
0.893 0.561 0.683
```